DFT (PBE) results for crystalline Y2ZnHRu at its relaxed geometry.

Lattice parameters (Å, degrees): 4.908 4.908 3.651 90.00 90.00 90.00
Sites, in units of the cell vectors:
Y: 0.000 0.500 0.000
Y: 0.500 0.000 0.000
Zn: 0.000 0.000 0.500
H: 0.500 0.500 0.000
Ru: 0.500 0.500 0.500

Summary:
The calculation puts the total energy at -5.78 eV/atom. Its symmetry is P4/mmm (123). The calculation puts the density of states at the Fermi level at 2.26 states/eV/f.u.